Here is a relaxed structure of Tl2C from the Alexandria database. Energies are from PBE-GGA.

Unit cell a=4.585 b=4.585 c=4.585 alpha=60.00 beta=60.00 gamma=60.00
Fractional positions:
Tl 0.750 0.750 0.750
Tl 0.250 0.250 0.250
C 0.000 0.000 0.000

Properties
Volume: 22.715 Å³ per atom
Symmetry: Fm-3m, No. 225
Energy above the most stable polymorph in this dataset: 0.850 eV/atom
Energy: -3.116 eV per atom
Energy of formation: 1.54 eV per atom

---

Here is a relaxed structure of Tl2C from the Alexandria database. Energies are from PBE-GGA.

Unit cell a=5.214 b=5.214 c=3.116 alpha=90.00 beta=90.00 gamma=120.00
Each line ends with the local moment (μB).
Fractional positions:
C 0.000 0.000 0.000  0.51
Tl 0.667 0.333 0.500  0.00
Tl 0.333 0.667 0.500  0.00

Properties
Volume: 24.462 Å³ per atom
Symmetry: P6/mmm, No. 191
Energy above the most stable polymorph in this dataset: 1.327 eV/atom
Energy: -2.639 eV per atom
Energy of formation: 2.01 eV per atom

---

Here is a relaxed structure of Tl3C2 from the Alexandria database. Energies are from PBE-GGA.

Unit cell a=3.925 b=3.925 c=8.016 alpha=90.00 beta=90.00 gamma=120.00
Fractional positions:
Tl 0.667 0.333 0.662
Tl 0.000 0.000 0.000
Tl 0.333 0.667 0.338
C 0.333 0.667 0.700
C 0.667 0.333 0.300

Properties
Volume: 21.393 Å³ per atom
Symmetry: P-3m1, No. 164
Energy above the most stable polymorph in this dataset: 0.000 eV/atom
Energy: -3.518 eV per atom
Energy of formation: 1.59 eV per atom

---

Here is a relaxed structure of Tl5C3 from the Alexandria database. Energies are from PBE-GGA.

Unit cell a=3.756 b=3.756 c=13.441 alpha=90.00 beta=90.00 gamma=90.00
Fractional positions:
C 0.000 0.000 0.500
C 0.500 0.500 0.048
C 0.500 0.500 0.952
Tl 0.000 0.000 0.762
Tl 0.000 0.000 0.000
Tl 0.000 0.000 0.238
Tl 0.500 0.500 0.392
Tl 0.500 0.500 0.608

Properties
Volume: 23.700 Å³ per atom
Symmetry: P4/mmm, No. 123
Energy above the most stable polymorph in this dataset: 0.041 eV/atom
Energy: -3.606 eV per atom
Energy of formation: 1.33 eV per atom